# 1
Here is a relaxed structure of Tb6PmNd10 from Alexandria via LeMat-Bulk. Energies are from PBE.

Lattice parameters (Å, degrees): 9.889 9.889 6.946 90.00 90.00 120.00
Sites, in units of the cell vectors:
Tb (0.000, 0.373, 0.306)
Tb (0.000, 0.627, 0.694)
Tb (0.373, 0.000, 0.306)
Tb (0.373, 0.373, 0.694)
Tb (0.627, 0.000, 0.694)
Tb (0.627, 0.627, 0.306)
Pm (0.000, 0.000, 0.500)
Nd (0.000, 0.275, 0.816)
Nd (0.000, 0.725, 0.184)
Nd (0.275, 0.000, 0.816)
Nd (0.275, 0.275, 0.184)
Nd (0.333, 0.667, 0.000)
Nd (0.333, 0.667, 0.500)
Nd (0.667, 0.333, 0.000)
Nd (0.667, 0.333, 0.500)
Nd (0.725, 0.000, 0.184)
Nd (0.725, 0.725, 0.816)

Summary:
formation enthalpy at 0 K	2.17	eV per formula unit



# 2
Here is a relaxed structure of TbPm5Nd5 from Alexandria via LeMat-Bulk. Energies are from PBE.

Lattice parameters (Å, degrees): 7.041 7.044 8.801 75.12 75.42 69.86
Sites, in units of the cell vectors:
Tb (0.000, 0.000, 0.000)
Pm (0.223, 0.649, 0.273)
Pm (0.319, 0.311, 0.638)
Pm (0.500, 0.000, 0.000)
Pm (0.681, 0.689, 0.362)
Pm (0.777, 0.351, 0.727)
Nd (0.000, 0.500, 0.000)
Nd (0.146, 0.147, 0.361)
Nd (0.355, 0.767, 0.733)
Nd (0.645, 0.233, 0.267)
Nd (0.854, 0.853, 0.639)

Summary:
formation enthalpy at 0 K	1.48	eV per formula unit



Values for volume, Å³ per cell, ordered as above
588.29, 389.57